(A)
# TiZnH

A geometry-optimized TiZnH structure (GGA-PBE, Alexandria via LeMat-Bulk).

Calculated values
Crystal system: triclinic
V (Å³/cell): 69
Total moment (μB per formula unit): 0.00
DOS(E_F) (states/eV/f.u.): 1.897

a = 3.483 Å, b = 3.496 Å, c = 5.746 Å
α = 86.09°, β = 86.25°, γ = 85.52°
Positions (direct):
Ti 0.236 0.236 0.123
Ti 0.764 0.764 0.877
Zn 0.273 0.275 0.616
Zn 0.727 0.725 0.384
H 0.253 0.747 0.001
H 0.747 0.253 0.999

(B)
# TiZnH

A geometry-optimized TiZnH structure (GGA-PBE, Alexandria via LeMat-Bulk).

Calculated values
Crystal system: trigonal
V (Å³/cell): 70
Total moment (μB per formula unit): 0.00
DOS(E_F) (states/eV/f.u.): 2.089

a = 9.390 Å, b = 9.390 Å, c = 9.390 Å
α = 18.17°, β = 18.17°, γ = 18.17°
Positions (direct):
Ti 0.216 0.216 0.216
Ti 0.784 0.784 0.784
Zn 0.372 0.372 0.372
Zn 0.628 0.628 0.628
H 0.146 0.146 0.146
H 0.854 0.854 0.854

The structure with the least stability is (A).

(A)
# TiZnH2

A geometry-optimized TiZnH2 structure (GGA-PBE, Alexandria via LeMat-Bulk).

Calculated values
Crystal system: cubic
V (Å³/cell): 35
Total moment (μB per formula unit): 0.00
DOS(E_F) (states/eV/f.u.): 1.138

a = 3.684 Å, b = 3.684 Å, c = 3.684 Å
α = 60.00°, β = 60.00°, γ = 60.00°
Positions (direct):
Ti 0.000 0.000 0.000
Zn 0.500 0.500 0.500
H 0.250 0.250 0.250
H 0.750 0.750 0.750

(B)
# TiZnH2

A geometry-optimized TiZnH2 structure (GGA-PBE, Alexandria via LeMat-Bulk).

Calculated values
Crystal system: tetragonal
V (Å³/cell): 78
Total moment (μB per formula unit): 0.00
DOS(E_F) (states/eV/f.u.): 1.539

a = 5.430 Å, b = 5.430 Å, c = 5.430 Å
α = 135.45°, β = 135.45°, γ = 64.83°
Positions (direct):
Ti 0.000 0.000 0.000
Ti 0.750 0.250 0.500
Zn 0.250 0.750 0.500
Zn 0.500 0.500 0.000
H 0.108 0.625 0.983
H 0.375 0.358 0.483
H 0.642 0.125 0.017
H 0.875 0.892 0.517

The structure with the least stability is (A).

(A)
# TiZn2H

A geometry-optimized TiZn2H structure (GGA-PBE, Alexandria via LeMat-Bulk).

Calculated values
Crystal system: tetragonal
V (Å³/cell): 109
Total moment (μB per formula unit): 1.00
DOS(E_F) (states/eV/f.u.): 1.844

a = 5.293 Å, b = 5.293 Å, c = 5.293 Å
α = 117.18°, β = 117.18°, γ = 94.96°
Positions (direct):
Ti 0.000 0.000 0.000
Ti 0.750 0.250 0.500
Zn 0.271 0.625 0.146
Zn 0.375 0.521 0.646
Zn 0.479 0.125 0.854
Zn 0.875 0.729 0.354
H 0.250 0.750 0.500
H 0.500 0.500 0.000

(B)
# TiZn2H

A geometry-optimized TiZn2H structure (GGA-PBE, Alexandria via LeMat-Bulk).

Calculated values
Crystal system: cubic
V (Å³/cell): 55
Total moment (μB per formula unit): 0.00
DOS(E_F) (states/eV/f.u.): 3.153

a = 4.271 Å, b = 4.271 Å, c = 4.271 Å
α = 60.00°, β = 60.00°, γ = 60.00°
Positions (direct):
Ti 0.000 0.000 0.000
Zn 0.250 0.250 0.250
Zn 0.750 0.750 0.750
H 0.500 0.500 0.500

The structure with the least stability is (B).

(A)
# Zr2TiZnH

A geometry-optimized Zr2TiZnH structure (GGA-PBE, Alexandria via LeMat-Bulk).

Calculated values
Crystal system: tetragonal
V (Å³/cell): 79
Total moment (μB per formula unit): 0.00
DOS(E_F) (states/eV/f.u.): 2.355

a = 4.360 Å, b = 4.360 Å, c = 4.146 Å
α = 90.00°, β = 90.00°, γ = 90.00°
Positions (direct):
Zr 0.000 0.500 0.000
Zr 0.500 0.000 0.000
Ti 0.000 0.000 0.500
Zn 0.500 0.500 0.500
H 0.000 0.000 0.000

(B)
# Zr2TiZnH

A geometry-optimized Zr2TiZnH structure (GGA-PBE, Alexandria via LeMat-Bulk).

Calculated values
Crystal system: tetragonal
V (Å³/cell): 79
Total moment (μB per formula unit): 0.00
DOS(E_F) (states/eV/f.u.): 3.127

a = 4.340 Å, b = 4.340 Å, c = 4.185 Å
α = 90.00°, β = 90.00°, γ = 90.00°
Positions (direct):
Zr 0.000 0.500 0.000
Zr 0.500 0.000 0.000
Ti 0.000 0.000 0.500
Zn 0.500 0.500 0.500
H 0.500 0.500 0.000

The structure with the least stability is (B).

(A)
# Zr3TiH

A geometry-optimized Zr3TiH structure (GGA-PBE, Alexandria via LeMat-Bulk).

Calculated values
Crystal system: cubic
V (Å³/cell): 89
Total moment (μB per formula unit): 0.00
DOS(E_F) (states/eV/f.u.): 6.919

a = 4.464 Å, b = 4.464 Å, c = 4.464 Å
α = 90.00°, β = 90.00°, γ = 90.00°
Positions (direct):
Zr 0.000 0.000 0.500
Zr 0.000 0.500 0.000
Zr 0.500 0.000 0.000
Ti 0.500 0.500 0.500
H 0.000 0.000 0.000

(B)
# Zr3TiH

A geometry-optimized Zr3TiH structure (GGA-PBE, Alexandria via LeMat-Bulk).

Calculated values
Crystal system: cubic
V (Å³/cell): 123
Total moment (μB per formula unit): 0.00
DOS(E_F) (states/eV/f.u.): 10.428

a = 4.974 Å, b = 4.974 Å, c = 4.974 Å
α = 90.00°, β = 90.00°, γ = 90.00°
Positions (direct):
Zr 0.000 0.000 0.500
Zr 0.000 0.500 0.000
Zr 0.500 0.000 0.000
Ti 0.000 0.000 0.000
H 0.500 0.500 0.500

The structure with the least stability is (B).

(A)
# ZrTiH3

A geometry-optimized ZrTiH3 structure (GGA-PBE, Alexandria via LeMat-Bulk).

Calculated values
Crystal system: cubic
V (Å³/cell): 51
Total moment (μB per formula unit): 0.00
DOS(E_F) (states/eV/f.u.): 2.472

a = 3.709 Å, b = 3.709 Å, c = 3.709 Å
α = 90.00°, β = 90.00°, γ = 90.00°
Positions (direct):
Zr 0.000 0.000 0.000
Ti 0.500 0.500 0.500
H 0.000 0.000 0.500
H 0.000 0.500 0.000
H 0.500 0.000 0.000

(B)
# ZrTiH3

A geometry-optimized ZrTiH3 structure (GGA-PBE, Alexandria via LeMat-Bulk).

Calculated values
Crystal system: monoclinic
V (Å³/cell): 184
Total moment (μB per formula unit): 0.00
DOS(E_F) (states/eV/f.u.): 2.242

a = 5.935 Å, b = 4.964 Å, c = 6.356 Å
α = 90.00°, β = 101.25°, γ = 90.00°
Positions (direct):
Zr 0.132 0.247 0.185
Zr 0.132 0.253 0.685
Zr 0.868 0.747 0.315
Zr 0.868 0.753 0.815
Ti 0.381 0.746 0.062
Ti 0.381 0.754 0.562
Ti 0.619 0.246 0.438
Ti 0.619 0.254 0.938
H 0.083 0.664 0.608
H 0.083 0.836 0.108
H 0.322 0.113 0.466
H 0.322 0.387 0.966
H 0.398 0.526 0.318
H 0.398 0.974 0.818
H 0.602 0.026 0.182
H 0.602 0.474 0.682
H 0.678 0.613 0.034
H 0.678 0.887 0.534
H 0.917 0.164 0.892
H 0.917 0.336 0.392

(C)
# ZrTiH3

A geometry-optimized ZrTiH3 structure (GGA-PBE, Alexandria via LeMat-Bulk).

Calculated values
Crystal system: cubic
V (Å³/cell): 45
Total moment (μB per formula unit): 0.00
DOS(E_F) (states/eV/f.u.): 1.817

a = 3.566 Å, b = 3.566 Å, c = 3.566 Å
α = 90.00°, β = 90.00°, γ = 90.00°
Positions (direct):
Zr 0.000 0.000 0.000
Ti 0.500 0.500 0.500
H 0.000 0.500 0.500
H 0.500 0.000 0.500
H 0.500 0.500 0.000

The structure with the least stability is (A).